# PBE NbTlBrO3, optimized geometry
# Mass density = 5.09 g/cm3
# Formation energy from raw total energies = -1560 meV per atom
# Crystal system = monoclinic
# Electronic total energy = -6.391 eV per atom
data_NbTlBrO3
_symmetry_space_group_name_H-M 'C 1 2/c 1'
_symmetry_Int_Tables_number 15
_cell_length_a 5.002
_cell_length_b 19.638
_cell_length_c 5.649
_cell_angle_alpha 90.00
_cell_angle_beta 90.59
_cell_angle_gamma 90.00
loop_
_symmetry_equiv_pos_as_xyz
'x,y,z'
'-x,-y,-z'
'-x,y,-z+1/2'
'x,-y,z+1/2'
'x+1/2,y+1/2,z'
'-x+1/2,-y+1/2,-z'
'-x+1/2,y+1/2,-z+1/2'
'x+1/2,-y+1/2,z+1/2'
loop_
_atom_site_label
_atom_site_fract_x
_atom_site_fract_y
_atom_site_fract_z
Nb1 0.000 0.031 0.250
Tl1 0.000 0.325 0.750
Br1 0.000 0.313 0.250
O1 0.000 0.125 0.250
O2 0.249 0.001 0.001